[1]
DFT (PBE-GGA) results for crystalline Mn2NbV at its relaxed geometry.

The value obtained for the formation energy is -58.5 kJ/mol of formula units. The calculation puts the magnetization at 0.00 μB per formula unit. The energy is -38.134 eV/f.u.

abc: 2.975 2.975 5.973
angles: 90.00 90.00 90.00
Space group P4/mmm (No. 123)
Unique sites:
Mn 0.000 0.000 0.235 (multiplicity 2)
Nb 0.500 0.500 0.500 (multiplicity 1)
V 0.500 0.500 0.000 (multiplicity 1)

[2]
DFT (PBE-GGA) results for crystalline MnNbV3 at its relaxed geometry.

The value obtained for the formation energy is 79.4 kJ/mol of formula units. The calculation puts the magnetization at 0.00 μB per formula unit. The energy is -45.772 eV/f.u. As for the energy above the most stable polymorph in this dataset: 0.000 eV per atom.

abc: 5.393 11.200 4.792
angles: 90.00 90.00 90.00
Space group Cmcm (No. 63)
Unique sites:
Mn 0.000 0.000 0.000 (multiplicity 4)
Nb 0.000 0.400 0.250 (multiplicity 4)
V 0.000 0.181 0.750 (multiplicity 4)
V 0.240 0.151 0.250 (multiplicity 8)

[3]
DFT (PBE-GGA) results for crystalline MnNbV2 at its relaxed geometry.

The value obtained for the formation energy is -12.8 kJ/mol of formula units. The calculation puts the magnetization at 0.00 μB per formula unit. The energy is -37.609 eV/f.u. As for the energy above the most stable polymorph in this dataset: 0.041 eV per atom.

abc: 6.051 6.051 6.051
angles: 90.00 90.00 90.00
Space group Fm-3m (No. 225)
Unique sites:
Mn 0.000 0.000 0.000 (multiplicity 4)
Nb 0.000 0.000 0.500 (multiplicity 4)
V 0.250 0.250 0.250 (multiplicity 8)

[4]
DFT (PBE-GGA) results for crystalline MnNbV at its relaxed geometry.

The value obtained for the formation energy is -30.5 kJ/mol of formula units. The calculation puts the magnetization at 0.00 μB per formula unit. The energy is -28.674 eV/f.u. As for the energy above the most stable polymorph in this dataset: 0.061 eV per atom.

abc: 3.030 13.081 4.276
angles: 90.00 90.00 90.00
Space group Cmcm (No. 63)
Unique sites:
Mn 0.000 0.088 0.250 (multiplicity 4)
Nb 0.000 0.417 0.250 (multiplicity 4)
V 0.000 0.257 0.750 (multiplicity 4)

[5]
DFT (PBE-GGA) results for crystalline Mn4NbV2 at its relaxed geometry.

The value obtained for the formation energy is 749.1 kJ/mol of formula units. The calculation puts the magnetization at 5.64 μB per formula unit. The energy is -57.221 eV/f.u.

abc: 4.476 4.476 12.505
angles: 90.00 90.00 90.00
Space group I4/mmm (No. 139)
Unique sites:
Mn 0.000 0.000 0.202 (multiplicity 4)
Mn 0.000 0.500 0.000 (multiplicity 4)
Nb 0.000 0.000 0.000 (multiplicity 2)
V 0.000 0.000 0.386 (multiplicity 4)

[6]
DFT (PBE-GGA) results for crystalline MnNb3V2 at its relaxed geometry.

The value obtained for the formation energy is -12.2 kJ/mol of formula units. The calculation puts the magnetization at 0.00 μB per formula unit. The energy is -57.743 eV/f.u.

abc: 4.418 13.280 6.305
angles: 90.00 90.00 90.00
Space group Cmmm (No. 65)
Unique sites:
Mn 0.000 0.167 0.000 (multiplicity 4)
Nb 0.000 0.000 0.246 (multiplicity 4)
Nb 0.000 0.331 0.244 (multiplicity 8)
V 0.000 0.167 0.500 (multiplicity 4)
V 0.000 0.500 0.000 (multiplicity 2)
V 0.000 0.500 0.500 (multiplicity 2)

[7]
DFT (PBE-GGA) results for crystalline MnNbV3 at its relaxed geometry.

The value obtained for the formation energy is 324.7 kJ/mol of formula units. The calculation puts the magnetization at 1.04 μB per formula unit. The energy is -43.230 eV/f.u. As for the energy above the most stable polymorph in this dataset: 0.508 eV per atom.

abc: 4.295 4.295 4.295
angles: 90.00 90.00 90.00
Space group Pm-3m (No. 221)
Unique sites:
Mn 0.000 0.000 0.000 (multiplicity 1)
Nb 0.500 0.500 0.500 (multiplicity 1)
V 0.000 0.000 0.500 (multiplicity 3)

[8]
DFT (PBE-GGA) results for crystalline MnNb2V at its relaxed geometry.

The value obtained for the formation energy is -14.6 kJ/mol of formula units. The calculation puts the magnetization at 0.00 μB per formula unit. The energy is -38.579 eV/f.u. As for the energy above the most stable polymorph in this dataset: 0.022 eV per atom.

abc: 6.235 6.235 6.235
angles: 90.00 90.00 90.00
Space group Fm-3m (No. 225)
Unique sites:
Mn 0.000 0.000 0.000 (multiplicity 4)
Nb 0.250 0.250 0.250 (multiplicity 8)
V 0.000 0.000 0.500 (multiplicity 4)

[9]
DFT (PBE-GGA) results for crystalline Mn5NbV4 at its relaxed geometry.

The value obtained for the formation energy is -208.4 kJ/mol of formula units. The calculation puts the magnetization at 0.00 μB per formula unit. The energy is -94.552 eV/f.u.

abc: 2.912 2.912 14.630
angles: 90.00 90.00 90.00
Space group P4/mmm (No. 123)
Unique sites:
Mn 0.000 0.000 0.000 (multiplicity 1)
Mn 0.000 0.000 0.195 (multiplicity 2)
Mn 0.000 0.000 0.389 (multiplicity 2)
Nb 0.500 0.500 0.500 (multiplicity 1)
V 0.500 0.500 0.098 (multiplicity 2)
V 0.500 0.500 0.293 (multiplicity 2)

[10]
DFT (PBE-GGA) results for crystalline MnNb2V at its relaxed geometry.

The value obtained for the formation energy is -17.4 kJ/mol of formula units. The calculation puts the magnetization at 0.00 μB per formula unit. The energy is -38.608 eV/f.u. As for the energy above the most stable polymorph in this dataset: 0.014 eV per atom.

abc: 4.403 4.403 3.121
angles: 90.00 90.00 90.00
Space group P4/mmm (No. 123)
Unique sites:
Mn 0.000 0.000 0.000 (multiplicity 1)
Nb 0.000 0.500 0.500 (multiplicity 2)
V 0.500 0.500 0.000 (multiplicity 1)

[11]
DFT (PBE-GGA) results for crystalline MnNbV at its relaxed geometry.

The value obtained for the formation energy is -48.0 kJ/mol of formula units. The calculation puts the magnetization at 0.59 μB per formula unit. The energy is -28.856 eV/f.u. As for the energy above the most stable polymorph in this dataset: 0.000 eV per atom.

abc: 4.985 5.017 6.865
angles: 90.00 90.00 90.00
Space group Imma (No. 74)
Unique sites:
Mn 0.000 0.000 0.000 (multiplicity 4)
Nb 0.000 0.250 0.372 (multiplicity 4)
V 0.250 0.250 0.750 (multiplicity 4)

[12]
DFT (PBE-GGA) results for crystalline MnNbV at its relaxed geometry.

The value obtained for the formation energy is -26.2 kJ/mol of formula units. The calculation puts the magnetization at 0.00 μB per formula unit. The energy is -28.629 eV/f.u. As for the energy above the most stable polymorph in this dataset: 0.076 eV per atom.

abc: 3.015 3.015 9.326
angles: 90.00 90.00 90.00
Space group I4mm (No. 107)
Unique sites:
Mn 0.000 0.000 0.000 (multiplicity 2)
Nb 0.000 0.000 0.669 (multiplicity 2)
V 0.000 0.000 0.352 (multiplicity 2)

[13]
DFT (PBE-GGA) results for crystalline MnNbV at its relaxed geometry.

The value obtained for the formation energy is 56.8 kJ/mol of formula units. The calculation puts the magnetization at 0.12 μB per formula unit. The energy is -27.770 eV/f.u. As for the energy above the most stable polymorph in this dataset: 0.362 eV per atom.

abc: 3.694 8.295 5.732
angles: 90.00 90.00 90.00
Space group Cmcm (No. 63)
Unique sites:
Mn 0.000 0.163 0.250 (multiplicity 4)
Nb 0.000 0.500 0.000 (multiplicity 4)
V 0.000 0.187 0.750 (multiplicity 4)

[14]
DFT (PBE-GGA) results for crystalline Mn2Nb2V at its relaxed geometry.

The value obtained for the formation energy is 28.8 kJ/mol of formula units. The calculation puts the magnetization at 0.00 μB per formula unit. The energy is -47.299 eV/f.u. As for the energy above the most stable polymorph in this dataset: 0.000 eV per atom.

abc: 2.890 17.639 2.879
angles: 90.00 90.00 90.00
Space group Cmmm (No. 65)
Unique sites:
Mn 0.000 0.080 0.000 (multiplicity 4)
Nb 0.000 0.326 0.500 (multiplicity 4)
V 0.000 0.500 0.500 (multiplicity 2)

[15]
DFT (PBE-GGA) results for crystalline MnNbV2 at its relaxed geometry.

The value obtained for the formation energy is -28.5 kJ/mol of formula units. The calculation puts the magnetization at 0.00 μB per formula unit. The energy is -37.772 eV/f.u. As for the energy above the most stable polymorph in this dataset: 0.000 eV per atom.

abc: 6.033 6.042 12.240
angles: 90.00 90.00 90.00
Space group Fmmm (No. 69)
Unique sites:
Mn 0.250 0.250 0.250 (multiplicity 8)
Nb 0.000 0.000 0.131 (multiplicity 8)
V 0.000 0.000 0.374 (multiplicity 8)
V 0.250 0.250 0.000 (multiplicity 8)

[16]
DFT (PBE-GGA) results for crystalline Mn5Nb4V at its relaxed geometry.

The value obtained for the formation energy is -117.9 kJ/mol of formula units. The calculation puts the magnetization at 0.00 μB per formula unit. The energy is -96.468 eV/f.u.

abc: 3.034 3.034 15.176
angles: 90.00 90.00 90.00
Space group P4/mmm (No. 123)
Unique sites:
Mn 0.000 0.000 0.000 (multiplicity 1)
Mn 0.000 0.000 0.204 (multiplicity 2)
Mn 0.000 0.000 0.408 (multiplicity 2)
Nb 0.500 0.500 0.102 (multiplicity 2)
Nb 0.500 0.500 0.306 (multiplicity 2)
V 0.500 0.500 0.500 (multiplicity 1)

[17]
DFT (PBE-GGA) results for crystalline MnNb2V2 at its relaxed geometry.

The value obtained for the formation energy is 102.9 kJ/mol of formula units. The calculation puts the magnetization at 0.00 μB per formula unit. The energy is -46.480 eV/f.u.

abc: 6.010 6.010 4.289
angles: 90.00 90.00 90.00
Space group P4/mbm (No. 127)
Unique sites:
Mn 0.000 0.000 0.000 (multiplicity 2)
Nb 0.173 0.327 0.500 (multiplicity 4)
V 0.150 0.650 0.000 (multiplicity 4)

[18]
DFT (PBE-GGA) results for crystalline Mn2NbV at its relaxed geometry.

The value obtained for the formation energy is -59.6 kJ/mol of formula units. The calculation puts the magnetization at 0.00 μB per formula unit. The energy is -38.145 eV/f.u.

abc: 4.218 2.981 8.410
angles: 90.00 90.00 90.00
Space group Pmma (No. 51)
Unique sites:
Mn 0.250 0.000 0.114 (multiplicity 2)
Mn 0.250 0.000 0.635 (multiplicity 2)
Nb 0.250 0.500 0.368 (multiplicity 2)
V 0.250 0.500 0.882 (multiplicity 2)

[19]
DFT (PBE-GGA) results for crystalline MnNb2V3 at its relaxed geometry.

The value obtained for the formation energy is -94.7 kJ/mol of formula units. The calculation puts the magnetization at 0.00 μB per formula unit. The energy is -57.647 eV/f.u.

abc: 5.0570 5.0570 12.0190
angles: 90.00 90.00 120.00
Space group R-3m (No. 166, hexagonal axes)
Unique sites:
Mn 0.0000 0.0000 0.0000 (multiplicity 3)
Nb 0.0000 0.0000 0.3744 (multiplicity 6)
V 0.0000 0.5000 0.5000 (multiplicity 9)

[20]
DFT (PBE-GGA) results for crystalline Mn4NbV at its relaxed geometry.

The value obtained for the formation energy is -57.6 kJ/mol of formula units. The calculation puts the magnetization at 0.01 μB per formula unit. The energy is -56.464 eV/f.u. As for the energy above the most stable polymorph in this dataset: 0.000 eV per atom.

abc: 6.703 6.703 6.703
angles: 90.00 90.00 90.00
Space group F-43m (No. 216)
Unique sites:
Mn 0.125 0.125 0.125 (multiplicity 16)
Nb 0.250 0.250 0.750 (multiplicity 4)
V 0.000 0.000 0.500 (multiplicity 4)